# 1
VASP calculation (GGA-PBE) on Li2AcSm2Sn2 after structural relaxation.

Cell and atoms, written as POSCAR:
```
Li2AcSm2Sn2
1.0
2.449 1.414 9.499
-2.449 1.414 9.499
0.000 -2.828 9.499
Li Ac Sm Sn
2 1 2 2
direct
0.084 0.084 0.084
0.916 0.916 0.916
0.500 0.500 0.500
0.368 0.368 0.368
0.632 0.632 0.632
0.243 0.243 0.243
0.757 0.757 0.757
```

Results
The density of states at the Fermi level is 4.8 states/eV per cell. The calculation puts the calculated density at 6.6 g/cm³. The value obtained for the magnetic moment is 0.0 μB per formula unit. Its total energy is -4.10 eV/atom. The calculation puts the energy of formation at -0.48 eV/atom.

=====

# 2
VASP calculation (GGA-PBE) on Li2AcSmSn2 after structural relaxation.

Cell and atoms, written as POSCAR:
```
Li2AcSmSn2
1.0
4.832 0.000 0.000
-2.416 4.184 0.000
0.000 0.000 7.997
Li Ac Sm Sn
2 1 1 2
direct
0.333 0.667 0.194
0.667 0.333 0.806
0.000 0.000 0.500
0.000 0.000 0.000
0.333 0.667 0.772
0.667 0.333 0.228
```

Results
The density of states at the Fermi level is 1.6 states/eV per cell. The calculation puts the calculated density at 6.5 g/cm³. The value obtained for the magnetic moment is 0.0 μB per formula unit. Its total energy is -4.10 eV/atom. The calculation puts the energy of formation at -0.65 eV/atom.

=====

# 3
VASP calculation (GGA-PBE) on LiAcSmTc after structural relaxation.

Cell and atoms, written as POSCAR:
```
LiAcSmTc
1.0
7.322 0.000 0.000
0.000 7.322 0.000
0.000 0.000 7.322
Li Ac Sm Tc
4 4 4 4
direct
0.000 0.000 0.000
0.000 0.500 0.500
0.500 0.000 0.500
0.500 0.500 0.000
0.250 0.250 0.750
0.250 0.750 0.250
0.750 0.250 0.250
0.750 0.750 0.750
0.250 0.250 0.250
0.250 0.750 0.750
0.750 0.250 0.750
0.750 0.750 0.250
0.000 0.000 0.500
0.000 0.500 0.000
0.500 0.000 0.000
0.500 0.500 0.500
```

Results
The density of states at the Fermi level is 16.3 states/eV per cell. The calculation puts the calculated density at 8.2 g/cm³. The value obtained for the magnetic moment is 0.0 μB per formula unit. Its total energy is -5.16 eV/atom. The calculation puts the energy of formation at 0.12 eV/atom.

=====

# 4
VASP calculation (GGA-PBE) on LiAc3Sm3Te8 after structural relaxation.

Cell and atoms, written as POSCAR:
```
LiAc3Sm3Te8
1.0
4.539 2.621 7.536
-4.539 2.621 7.536
0.000 -5.241 7.536
Li Ac Sm Te
1 3 3 8
direct
0.000 0.000 0.000
0.000 0.000 0.500
0.000 0.500 0.000
0.500 0.000 0.000
0.000 0.500 0.500
0.500 0.000 0.500
0.500 0.500 0.000
0.245 0.245 0.743
0.245 0.743 0.245
0.256 0.256 0.256
0.257 0.755 0.755
0.743 0.245 0.245
0.744 0.744 0.744
0.755 0.257 0.755
0.755 0.755 0.257
```

Results
The density of states at the Fermi level is 4.8 states/eV per cell. The calculation puts the calculated density at 6.7 g/cm³. The value obtained for the magnetic moment is 0.0 μB per formula unit. Its total energy is -4.99 eV/atom. Its raw formation energy is -1421 meV per atom.

=====

# 5
VASP calculation (GGA-PBE) on LiAc3Sm2Te6 after structural relaxation.

Cell and atoms, written as POSCAR:
```
LiAc3Sm2Te6
1.0
9.954 -2.296 0.000
9.954 2.296 0.000
-1.977 0.000 8.896
Li Ac Sm Te
1 3 2 6
direct
0.000 0.000 0.000
0.000 0.000 0.500
0.333 0.333 0.165
0.667 0.667 0.835
0.331 0.331 0.658
0.669 0.669 0.342
0.159 0.159 0.095
0.169 0.169 0.577
0.495 0.495 0.768
0.505 0.505 0.232
0.831 0.831 0.423
0.841 0.841 0.905
```

Results
The density of states at the Fermi level is 4.5 states/eV per cell. The calculation puts the calculated density at 7.2 g/cm³. The value obtained for the magnetic moment is 0.0 μB per formula unit. Its total energy is -4.96 eV/atom. Its raw formation energy is -1416 meV per atom.

=====

# 6
VASP calculation (GGA-PBE) on LiAc2SmTe5 after structural relaxation.

Cell and atoms, written as POSCAR:
```
LiAc2SmTe5
1.0
2.302 -9.685 0.000
2.302 9.685 0.000
0.000 0.000 13.560
Li Ac Sm Te
2 4 2 10
direct
0.057 0.943 0.500
0.943 0.057 0.000
0.375 0.625 0.342
0.393 0.607 0.722
0.607 0.393 0.222
0.625 0.375 0.842
0.302 0.698 0.046
0.698 0.302 0.546
0.001 0.999 0.819
0.139 0.861 0.037
0.189 0.811 0.387
0.215 0.785 0.704
0.452 0.548 0.103
0.548 0.452 0.603
0.785 0.215 0.204
0.811 0.189 0.887
0.861 0.139 0.537
0.999 0.001 0.319
```

Results
The calculation puts the calculated density at 6.9 g/cm³. The value obtained for the magnetic moment is 0.0 μB per formula unit. Its total energy is -4.85 eV/atom. Its raw formation energy is -1452 meV per atom.

=====

# 7
VASP calculation (GGA-PBE) on LiAcSm2Te4 after structural relaxation.

Cell and atoms, written as POSCAR:
```
LiAcSm2Te4
1.0
7.731 0.000 0.000
0.000 4.487 0.000
-2.596 0.000 7.509
Li Ac Sm Te
1 1 2 4
direct
0.000 0.000 0.000
0.500 0.500 0.000
0.000 0.500 0.500
0.500 0.000 0.500
0.234 0.000 0.742
0.240 0.500 0.252
0.760 0.500 0.748
0.766 0.000 0.258
```

Results
The density of states at the Fermi level is 3.0 states/eV per cell. The calculation puts the calculated density at 6.7 g/cm³. The value obtained for the magnetic moment is 0.0 μB per formula unit. Its total energy is -4.87 eV/atom. Its raw formation energy is -1370 meV per atom.

=====

# 8
VASP calculation (GGA-PBE) on Li2AcSmTl4 after structural relaxation.

Cell and atoms, written as POSCAR:
```
Li2AcSmTl4
1.0
2.655 1.533 9.050
-2.655 1.533 9.050
0.000 -3.065 9.050
Li Ac Sm Tl
2 1 1 4
direct
0.245 0.245 0.245
0.755 0.755 0.755
0.000 0.000 0.000
0.500 0.500 0.500
0.126 0.126 0.126
0.383 0.383 0.383
0.617 0.617 0.617
0.874 0.874 0.874
```

Results
The density of states at the Fermi level is 2.3 states/eV per cell. The calculation puts the calculated density at 9.1 g/cm³. The value obtained for the magnetic moment is 0.0 μB per formula unit. Its total energy is -3.08 eV/atom. The calculation puts the energy of formation at -0.32 eV/atom.